# 1
PBE-GGA Ce3Pm2PrSb6, relaxed; energy = -5.85 eV/atom; symmetry = No. 12; E_form (uncorrected) = -1120.0 meV/atom
1.0
3.9032 -6.7598 0.0000
3.9032 6.7598 0.0000
-2.6023 0.0000 7.3632
Ce Pm Pr Sb
3 2 1 6
Direct
0.0000 0.0000 0.0000
0.3341 0.6659 0.0000
0.6659 0.3341 0.0000
0.1670 0.8330 0.5000
0.8330 0.1670 0.5000
0.5000 0.5000 0.5000
0.0801 0.4156 0.2471
0.2482 0.2482 0.7519
0.4156 0.0801 0.2471
0.5844 0.9199 0.7529
0.7518 0.7518 0.2481
0.9199 0.5844 0.7529



# 2
PBE-GGA CePmPr2Sb4, relaxed; energy = -5.75 eV/atom; symmetry = No. 10; E_form (uncorrected) = -1156.8 meV/atom
1.0
7.8384 0.0000 0.0000
0.0000 4.5225 0.0000
-2.5998 0.0000 7.3959
Ce Pm Pr Sb
1 1 2 4
Direct
0.0000 0.0000 0.0000
0.5000 0.5000 0.0000
0.0000 0.5000 0.5000
0.5000 0.0000 0.5000
0.2475 0.5000 0.2448
0.2503 0.0000 0.7550
0.7497 0.0000 0.2450
0.7525 0.5000 0.7552



Question: Which of these has the lowest energy?
Answer: Ce3Pm2PrSb6



Question: What is the formula in the first record?
Answer: Ce3Pm2PrSb6



Repeat the second record exactly.
PBE-GGA CePmPr2Sb4, relaxed; energy = -5.75 eV/atom; symmetry = No. 10; E_form (uncorrected) = -1156.8 meV/atom
1.0
7.8384 0.0000 0.0000
0.0000 4.5225 0.0000
-2.5998 0.0000 7.3959
Ce Pm Pr Sb
1 1 2 4
Direct
0.0000 0.0000 0.0000
0.5000 0.5000 0.0000
0.0000 0.5000 0.5000
0.5000 0.0000 0.5000
0.2475 0.5000 0.2448
0.2503 0.0000 0.7550
0.7497 0.0000 0.2450
0.7525 0.5000 0.7552